# NbTlP2O8 (PBE, optimized geometry)
data_NbTlP2O8
_cell_length_a 5.0040
_cell_length_b 12.8416
_cell_length_c 11.7861
_cell_angle_alpha 90.00
_cell_angle_beta 111.26
_cell_angle_gamma 90.00
_space_group_name_H-M_alt 'P 1'
_space_group_IT_number 1
loop_
_space_group_symop_operation_xyz
'x,y,z'
loop_
_atom_site_label
_atom_site_type_symbol
_atom_site_fract_x
_atom_site_fract_y
_atom_site_fract_z
O1 O 0.8611 0.5564 0.8013
O2 O 0.7598 0.1698 0.8746
O3 O 0.1017 0.3985 0.9808
O4 O 0.9416 0.5542 0.3607
O5 O 0.2402 0.6698 0.6254
O6 O 0.2402 0.8302 0.1254
O7 O 0.0584 0.0542 0.1393
O8 O 0.8983 0.6015 0.0192
O9 O 0.5848 0.7971 0.3455
O10 O 0.3490 0.2978 0.8294
O11 O 0.5848 0.7029 0.8455
O12 O 0.4520 0.9837 0.3704
O13 O 0.2552 0.8400 0.7468
O14 O 0.7448 0.3400 0.7532
O15 O 0.1389 0.4436 0.1987
O16 O 0.6510 0.7978 0.6706
O17 O 0.2552 0.6600 0.2468
O18 O 0.7598 0.3302 0.3746
O19 O 0.0584 0.4458 0.6393
O20 O 0.4152 0.2029 0.6545
O21 O 0.8611 0.9436 0.3013
O22 O 0.1017 0.1015 0.4808
O23 O 0.5480 0.0163 0.6296
O24 O 0.7448 0.1600 0.2532
O25 O 0.6510 0.7022 0.1706
O26 O 0.4520 0.5163 0.8704
O27 O 0.1389 0.0564 0.6987
O28 O 0.3490 0.2022 0.3294
O29 O 0.4152 0.2971 0.1545
O30 O 0.9416 0.9458 0.8607
O31 O 0.8983 0.8985 0.5192
O32 O 0.5480 0.4837 0.1296
Nb1 Nb 0.8993 0.5716 0.2064
Nb2 Nb 0.8993 0.9284 0.7064
Nb3 Nb 0.1007 0.0716 0.2936
Nb4 Nb 0.1007 0.4284 0.7936
Tl1 Tl 0.7101 0.8864 0.0225
Tl2 Tl 0.2899 0.1136 0.9775
Tl3 Tl 0.7101 0.6136 0.5225
Tl4 Tl 0.2899 0.3864 0.4775
P1 P 0.2924 0.0886 0.6117
P2 P 0.5867 0.2492 0.2894
P3 P 0.4133 0.7492 0.2106
P4 P 0.7076 0.9114 0.3883
P5 P 0.2924 0.4114 0.1117
P6 P 0.4133 0.7508 0.7106
P7 P 0.7076 0.5886 0.8883
P8 P 0.5867 0.2508 0.7894
# Polymorph energy (0 for the lowest one): 16 meV per atom
# Calculated volume: 14.70 Å³ per atom
# Total magnetization: 0.013 Bohr magnetons per cell


# NbTlPO (PBE, optimized geometry)
data_NbTlPO
_cell_length_a 4.2962
_cell_length_b 4.2962
_cell_length_c 7.6810
_cell_angle_alpha 90.00
_cell_angle_beta 90.00
_cell_angle_gamma 90.00
_space_group_name_H-M_alt 'P 1'
_space_group_IT_number 1
loop_
_space_group_symop_operation_xyz
'x,y,z'
loop_
_atom_site_label
_atom_site_type_symbol
_atom_site_fract_x
_atom_site_fract_y
_atom_site_fract_z
P1 P 0.5000 0.0000 0.3369
P2 P 0.0000 0.5000 0.6631
Tl1 Tl 0.5000 0.0000 0.8693
Tl2 Tl 0.0000 0.5000 0.1307
O1 O 0.5000 0.5000 0.0000
O2 O 0.0000 0.0000 0.0000
Nb1 Nb 0.0000 0.0000 0.5000
Nb2 Nb 0.5000 0.5000 0.5000
# Polymorph energy (0 for the lowest one): 477 meV per atom
# Calculated volume: 17.72 Å³ per atom
# Total magnetization: 0.007 Bohr magnetons per cell


calculated volume of number 1 (NbTlP2O8)?
14.70 Å³ per atom